Record 1
# RbCrGa3 PBE optimized geometry
# - offset from the most stable computed form (meV per atom) = 1989
# - ΔH_f (0 K) (eV per atom) = 2.119
data_RbCrGa3
_chemical_formula_sum 'Rb1 Cr1 Ga3'
_cell_length_a 5.605
_cell_length_b 5.605
_cell_length_c 5.605
_cell_angle_alpha 90.00
_cell_angle_beta 90.00
_cell_angle_gamma 90.00
_space_group_name_H-M_alt 'P 1'
_space_group_IT_number 1
_space_group_name_Hall 'P 1'
loop_
_atom_site_label
_atom_site_type_symbol
_atom_site_fract_x
_atom_site_fract_y
_atom_site_fract_z
Rb1 Rb 0.000 0.000 0.000
Cr1 Cr 0.500 0.500 0.500
Ga1 Ga 0.000 0.000 0.500
Ga2 Ga 0.000 0.500 0.000
Ga3 Ga 0.500 0.000 0.000

Record 2
DFT (PBE) results for an optimized crystal structure of LiIn2CuS4.

Geometry as CIF:
```
data_LiIn2CuS4
_chemical_formula_sum 'Li2 In4 Cu2 S8'
_cell_length_a 7.966
_cell_length_b 6.923
_cell_length_c 6.545
_cell_angle_alpha 90.00
_cell_angle_beta 90.00
_cell_angle_gamma 90.00
_space_group_name_H-M_alt 'P 1'
_space_group_IT_number 1
_space_group_name_Hall 'P 1'
loop_
_atom_site_label
_atom_site_type_symbol
_atom_site_fract_x
_atom_site_fract_y
_atom_site_fract_z
Li1 Li 0.000 0.164 0.000
Li2 Li 0.500 0.836 0.500
In1 In 0.249 0.333 0.501
In2 In 0.251 0.667 0.001
In3 In 0.749 0.667 0.001
In4 In 0.751 0.333 0.501
Cu1 Cu 0.000 0.830 0.502
Cu2 Cu 0.500 0.170 0.002
S1 S 0.000 0.145 0.376
S2 S 0.000 0.837 0.856
S3 S 0.242 0.678 0.384
S4 S 0.258 0.322 0.884
S5 S 0.500 0.163 0.356
S6 S 0.500 0.855 0.876
S7 S 0.742 0.322 0.884
S8 S 0.758 0.678 0.384
```

Record 3
# Lu2PuBe PBE optimized geometry
# - offset from the most stable computed form (meV per atom) = 0
# - ΔH_f (0 K) (eV per atom) = 0.112
data_Lu2PuBe
_chemical_formula_sum 'Lu2 Pu1 Be1'
_cell_length_a 3.338
_cell_length_b 3.338
_cell_length_c 8.376
_cell_angle_alpha 90.00
_cell_angle_beta 90.00
_cell_angle_gamma 90.00
_space_group_name_H-M_alt 'P 1'
_space_group_IT_number 1
_space_group_name_Hall 'P 1'
loop_
_atom_site_label
_atom_site_type_symbol
_atom_site_fract_x
_atom_site_fract_y
_atom_site_fract_z
Lu1 Lu 0.000 0.000 0.194
Lu2 Lu 0.000 0.000 0.806
Pu1 Pu 0.500 0.500 0.500
Be1 Be 0.500 0.500 0.000

Record 4
# Sc12Cu5Sn PBE optimized geometry
# - ΔH_f (0 K) (eV per atom) = -0.248
data_Sc12Cu5Sn
_chemical_formula_sum 'Sc12 Cu5 Sn1'
_cell_length_a 7.862
_cell_length_b 7.862
_cell_length_c 7.862
_cell_angle_alpha 111.43
_cell_angle_beta 110.58
_cell_angle_gamma 106.44
_space_group_name_H-M_alt 'P 1'
_space_group_IT_number 1
_space_group_name_Hall 'P 1'
loop_
_atom_site_label
_atom_site_type_symbol
_atom_site_fract_x
_atom_site_fract_y
_atom_site_fract_z
Sc1 Sc 0.026 0.818 0.208
Sc2 Sc 0.228 0.528 0.300
Sc3 Sc 0.228 0.927 0.700
Sc4 Sc 0.278 0.319 0.597
Sc5 Sc 0.278 0.681 0.960
Sc6 Sc 0.390 0.182 0.208
Sc7 Sc 0.610 0.818 0.792
Sc8 Sc 0.722 0.319 0.040
Sc9 Sc 0.722 0.681 0.403
Sc10 Sc 0.772 0.073 0.300
Sc11 Sc 0.772 0.472 0.700
Sc12 Sc 0.974 0.182 0.792
Cu1 Cu 0.000 0.140 0.140
Cu2 Cu 0.000 0.500 0.500
Cu3 Cu 0.000 0.860 0.860
Cu4 Cu 0.372 0.372 0.000
Cu5 Cu 0.628 0.628 0.000
Sn1 Sn 0.500 0.000 0.500

Record 5
# CdBrF3 PBE optimized geometry
# - offset from the most stable computed form (meV per atom) = 0
data_CdBrF3
_chemical_formula_sum 'Cd1 Br1 F3'
_cell_length_a 4.457
_cell_length_b 4.457
_cell_length_c 4.457
_cell_angle_alpha 90.00
_cell_angle_beta 90.00
_cell_angle_gamma 90.00
_space_group_name_H-M_alt 'P 1'
_space_group_IT_number 1
_space_group_name_Hall 'P 1'
loop_
_atom_site_label
_atom_site_type_symbol
_atom_site_fract_x
_atom_site_fract_y
_atom_site_fract_z
Cd1 Cd 0.000 0.000 0.000
Br1 Br 0.500 0.500 0.500
F1 F 0.000 0.000 0.500
F2 F 0.000 0.500 0.000
F3 F 0.500 0.000 0.000

Record 6
# BaCrCd2 PBE optimized geometry
# - ΔH_f (0 K) (eV per atom) = 0.267
data_BaCrCd2
_chemical_formula_sum 'Ba1 Cr1 Cd2'
_cell_length_a 3.836
_cell_length_b 3.836
_cell_length_c 7.762
_cell_angle_alpha 90.00
_cell_angle_beta 90.00
_cell_angle_gamma 90.00
_space_group_name_H-M_alt 'P 1'
_space_group_IT_number 1
_space_group_name_Hall 'P 1'
loop_
_atom_site_label
_atom_site_type_symbol
_atom_site_fract_x
_atom_site_fract_y
_atom_site_fract_z
Ba1 Ba 0.000 0.000 0.000
Cr1 Cr 0.500 0.500 0.681
Cd1 Cd 0.000 0.000 0.534
Cd2 Cd 0.500 0.500 0.308

Here are the calculated total energy numbers, same order: -1.81; -4.21; -6.66; -5.83; -2.77; -3.08 (eV per atom).
Here are the calculated V numbers, same order: 35.21; 22.56; 23.33; 20.74; 17.71; 28.56 (Å³/atom).